1.
# Cd2Sn2Pb, relaxed, DFT GGA-PBEsol
# **Energy above the lowest structure with this stoichiometry**: 0 meV per atom
# **D(E_F)**: 4.6 states/eV per cell
# **Crystal system**: tetragonal
# **DFT formation energy**: 0.080 eV/atom
data_Cd2Sn2Pb
_chemical_formula_sum 'Cd4 Sn4 Pb2'
_cell_length_a 8.7319
_cell_length_b 8.7319
_cell_length_c 3.3599
_cell_angle_alpha 90.00
_cell_angle_beta 90.00
_cell_angle_gamma 90.00
_space_group_name_H-M_alt 'P 4/m b m'
_space_group_IT_number 127
_space_group_name_Hall '-P 4 2ab'
loop_
_atom_site_label
_atom_site_type_symbol
_atom_site_fract_x
_atom_site_fract_y
_atom_site_fract_z
_atom_site_occupancy
Cd1 Cd 0.1322 0.3678 0.0000 1
Sn1 Sn 0.1649 0.6649 0.5000 1
Pb1 Pb 0.0000 0.0000 0.5000 1


2.
# Ce2ZnNi2, relaxed, DFT GGA-PBEsol
# **D(E_F)**: 14.2 states/eV per cell
# **Crystal system**: orthorhombic
# **DFT formation energy**: -0.316 eV/atom
data_Ce2ZnNi2
_chemical_formula_sum 'Ce4 Zn2 Ni4'
_cell_length_a 4.3328
_cell_length_b 5.3292
_cell_length_c 7.6274
_cell_angle_alpha 90.00
_cell_angle_beta 90.00
_cell_angle_gamma 90.00
_space_group_name_H-M_alt 'I m m m'
_space_group_IT_number 71
_space_group_name_Hall '-I 2 2'
loop_
_atom_site_label
_atom_site_type_symbol
_atom_site_fract_x
_atom_site_fract_y
_atom_site_fract_z
_atom_site_occupancy
Ce1 Ce 0.0000 0.0000 0.1970 1
Zn1 Zn 0.0000 0.5000 0.0000 1
Ni1 Ni 0.0000 0.2607 0.5000 1


For each record above, in turn, the calculated volume values are 256 176 Å³/cell.